Entry 1:
Here is an optimized crystal structure of TcPbW2 from the Alexandria database. Energies are from PBE.

## Properties
- Energy of formation from the pure elements: 3.34 eV per formula unit
- Total moment: 0.000 μB/f.u.
- Symmetry: No. 123

a b c (Å): 4.4638 3.9441 3.9441
angles (deg): 90.00 90.00 90.00
Atoms (fractional coordinates):
Pb 0.5000 0.5000 0.0000
Tc 0.5000 0.0000 0.5000
W 0.0000 0.0000 0.0000
W 0.0000 0.5000 0.5000

---

Entry 2:
Here is an optimized crystal structure of Cs2TlCuI6 from the Alexandria database. Energies are from PBE.

## Properties
- ΔE_f (raw): -749 meV/atom
- Total moment: 0.000 μB/f.u.
- Symmetry: No. 225

a b c (Å): 8.4353 8.4353 8.4349
angles (deg): 60.00 60.00 90.00
Atoms (fractional coordinates):
Cs 0.7500 0.2500 0.5000
Cs 0.2500 0.7500 0.5000
I 0.2646 0.2646 0.4708
I 0.7354 0.7354 0.5292
I 0.2644 0.2644 0.0000
I 0.7356 0.7356 0.0000
I 0.7356 0.2644 0.0000
I 0.2644 0.7356 0.0000
Tl 0.0000 0.0000 0.0000
Cu 0.5000 0.5000 0.0000

---

Entry 3:
Here is an optimized crystal structure of Sr3AlSi3 from the Alexandria database. Energies are from PBE.

## Properties
- ΔE_f (raw): -405 meV/atom
- Total moment: 0.000 μB/f.u.
- Symmetry: No. 12

a b c (Å): 4.6299 6.3182 13.7131
angles (deg): 83.10 80.28 68.51
Atoms (fractional coordinates):
Sr 0.5194 0.3443 0.6169
Sr 0.4806 0.6557 0.3831
Sr 0.2646 0.2455 0.2253
Sr 0.7354 0.7545 0.7747
Sr 0.3931 0.2903 0.9235
Sr 0.6069 0.7097 0.0765
Al 0.7767 0.0518 0.3948
Al 0.2233 0.9482 0.6052
Si 0.8311 0.7871 0.5507
Si 0.1689 0.2129 0.4493
Si 0.0925 0.8899 0.9250
Si 0.9075 0.1101 0.0750
Si 0.9650 0.8447 0.2254
Si 0.0350 0.1553 0.7746

---

Entry 4:
Here is an optimized crystal structure of FeNiSb2H from the Alexandria database. Energies are from PBE.

## Properties
- Energy: -21.09 eV for the cell shown
- Total moment: 3.466 μB/f.u.
- Symmetry: No. 123

a b c (Å): 4.8154 4.6274 4.8154
angles (deg): 90.00 90.00 90.00
Last column: magnetic moment on the atom in μB.
Atoms (fractional coordinates):
Sb 0.0000 0.0000 0.5000  -0.03
Sb 0.5000 0.0000 0.0000  -0.03
Fe 0.0000 0.5000 0.0000  3.19
H 0.5000 0.5000 0.5000  0.07
Ni 0.0000 0.0000 0.0000  0.12

---

Entry 5:
Here is an optimized crystal structure of Ba2SmP2Br2 from the Alexandria database. Energies are from PBE.

## Properties
- ΔE_f (raw): -1455 meV/atom
- Total moment: 0.001 μB/f.u.
- Symmetry: No. 139

a b c (Å): 5.4331 5.4331 9.2318
angles (deg): 107.11 107.11 90.00
Atoms (fractional coordinates):
Ba 0.3797 0.3797 0.7595
Ba 0.6203 0.6203 0.2405
Sm 0.0000 0.0000 0.0000
P 0.0000 0.5000 0.0000
P 0.5000 0.0000 0.0000
Br 0.1824 0.1824 0.3649
Br 0.8176 0.8176 0.6351

---

Entry 6:
Here is an optimized crystal structure of Cs2MnBr6Cl from the Alexandria database. Energies are from PBE.

## Properties
- ΔE_f (raw): -972 meV/atom
- Total moment: 2.854 μB/f.u.
- Symmetry: No. 139

a b c (Å): 7.7286 7.7286 8.0436
angles (deg): 61.29 61.29 90.00
Last column: magnetic moment on the atom in μB.
Atoms (fractional coordinates):
Cs 0.7500 0.2500 0.5000  0.00
Cs 0.2500 0.7500 0.5000  0.00
Mn 0.0000 0.0000 0.0000  3.18
Br 0.2072 0.2072 0.5856  -0.03
Br 0.7928 0.7928 0.4144  -0.03
Br 0.2293 0.2293 0.0000  -0.05
Br 0.7707 0.7707 0.0000  -0.05
Br 0.7707 0.2293 0.0000  -0.05
Br 0.2293 0.7707 0.0000  -0.05
Cl 0.5000 0.5000 0.0000  -0.19